No. 1
Entry from Alexandria via LeMat-Bulk: a geometry-optimized LaHoSc2 structure (GGA-PBE).

Properties
* excess energy over the best structure of this formula in the dataset: 2 kJ/mol of formula units
* DFT formation energy: 0.25 eV per formula unit
* symmetry: No. 160
* magnetic moment: 0.00 μB/f.u.
* crystal system: trigonal
* theoretical density: 5.67 g/cm³

a = 3.4811 Å, b = 3.4811 Å, c = 11.1643 Å
α = 81.03°, β = 81.03°, γ = 60.00°
Fractional positions:
La 0.6664 0.6664 0.0007
Ho 0.5001 0.5001 0.4996
Sc 0.0852 0.0852 0.7445
Sc 0.2483 0.2483 0.2552

No. 2
Entry from Alexandria via LeMat-Bulk: a geometry-optimized ReCSe2 structure (GGA-PBE).

Properties
* symmetry: No. 122
* magnetic moment: 0.00 μB/f.u.
* E_form (uncorrected): 1.2929 eV/atom
* crystal system: tetragonal
* theoretical density: 8.38 g/cm³

a = 5.3265 Å, b = 5.3265 Å, c = 6.2404 Å
α = 64.74°, β = 64.74°, γ = 90.00°
Fractional positions:
Re 0.0000 0.0000 0.0000
Re 0.7500 0.2500 0.5000
C 0.5000 0.5000 0.0000
C 0.2500 0.7500 0.5000
Se 0.5840 0.1250 0.2500
Se 0.1659 0.6250 0.2500
Se 0.3750 0.4160 0.7500
Se 0.8750 0.8340 0.7500

No. 3
Entry from Alexandria via LeMat-Bulk: a geometry-optimized Tb3Tc2C4 structure (GGA-PBE).

Properties
* DFT formation energy: -0.42 eV per formula unit
* symmetry: No. 12
* magnetic moment: 0.23 μB/f.u.
* crystal system: monoclinic
* theoretical density: 9.08 g/cm³

a = 3.3379 Å, b = 5.6914 Å, c = 7.3048 Å
α = 96.43°, β = 90.00°, γ = 107.05°
Fractional positions:
Tb 0.3790 0.7580 0.5890
Tb 0.0000 0.0000 0.0000
Tb 0.6210 0.2420 0.4110
Tc 0.2908 0.5817 0.1674
Tc 0.7092 0.4183 0.8326
C 0.6578 0.3156 0.0888
C 0.1492 0.2984 0.6652
C 0.8508 0.7016 0.3348
C 0.3422 0.6844 0.9112

No. 4
Entry from Alexandria via LeMat-Bulk: a geometry-optimized La6PrEr5 structure (GGA-PBE).

Properties
* DFT formation energy: 0.28 eV per formula unit
* symmetry: No. 71
* magnetic moment: 0.00 μB/f.u.
* crystal system: orthorhombic
* theoretical density: 7.32 g/cm³

a = 5.2289 Å, b = 9.6777 Å, c = 9.6777 Å
α = 108.73°, β = 105.70°, γ = 105.70°
Fractional positions:
Pr 0.0000 0.0000 0.0000
Er 0.5000 0.1675 0.8325
Er 0.0000 0.3325 0.6675
Er 0.5000 0.5000 0.5000
Er 0.0000 0.6675 0.3325
Er 0.5000 0.8325 0.1675
La 0.2515 0.0846 0.4188
La 0.7485 0.5812 0.9154
La 0.7540 0.2538 0.2538
La 0.2460 0.7462 0.7462
La 0.2515 0.4188 0.0846
La 0.7485 0.9154 0.5812

No. 5
Entry from Alexandria via LeMat-Bulk: a geometry-optimized CaPmTm2 structure (GGA-PBE).

Properties
* excess energy over the best structure of this formula in the dataset: 24 kJ/mol of formula units
* DFT formation energy: 0.54 eV per formula unit
* symmetry: No. 123
* magnetic moment: 0.00 μB/f.u.
* crystal system: tetragonal
* theoretical density: 6.57 g/cm³

a = 5.1401 Å, b = 5.0726 Å, c = 5.0726 Å
α = 90.00°, β = 90.00°, γ = 90.00°
Fractional positions:
Ca 0.5000 0.5000 0.5000
Tm 0.0000 0.0000 0.5000
Tm 0.0000 0.5000 0.0000
Pm 0.5000 0.0000 0.0000

No. 6
Entry from Alexandria via LeMat-Bulk: a geometry-optimized BeCdPt3 structure (GGA-PBE).

Properties
* excess energy over the best structure of this formula in the dataset: 291 kJ/mol of formula units
* DFT formation energy: 0.82 eV per formula unit
* symmetry: No. 194
* magnetic moment: 0.00 μB/f.u.
* crystal system: hexagonal
* theoretical density: 13.06 g/cm³

a = 3.6664 Å, b = 3.6664 Å, c = 15.4367 Å
α = 90.00°, β = 90.00°, γ = 120.00°
Fractional positions:
Be 0.3333 0.6667 0.7500
Be 0.6667 0.3333 0.2500
Pt 0.0000 0.0000 0.2500
Pt 0.0000 0.0000 0.7500
Pt 0.3333 0.6667 0.8871
Pt 0.3333 0.6667 0.6129
Pt 0.6667 0.3333 0.3871
Pt 0.6667 0.3333 0.1129
Cd 0.0000 0.0000 0.0000
Cd 0.0000 0.0000 0.5000

No. 7
Entry from Alexandria via LeMat-Bulk: a geometry-optimized Mg15Cu structure (GGA-PBE).

Properties
* DFT formation energy: 0.12 eV per formula unit
* symmetry: No. 187
* magnetic moment: 0.00 μB/f.u.
* crystal system: hexagonal
* theoretical density: 2.03 g/cm³

a = 6.2527 Å, b = 6.2527 Å, c = 10.3327 Å
α = 90.00°, β = 90.00°, γ = 120.00°
Fractional positions:
Mg 0.0000 0.0000 0.5000
Mg 0.4979 0.9957 0.0000
Mg 0.5015 0.0029 0.5000
Mg 0.4979 0.5021 0.0000
Mg 0.5015 0.4985 0.5000
Mg 0.0043 0.5021 0.0000
Mg 0.9971 0.4985 0.5000
Mg 0.3273 0.1636 0.2394
Mg 0.3273 0.1636 0.7606
Mg 0.8364 0.1636 0.2394
Mg 0.8364 0.1636 0.7606
Mg 0.8364 0.6727 0.2394
Mg 0.8364 0.6727 0.7606
Mg 0.3333 0.6667 0.2531
Mg 0.3333 0.6667 0.7469
Cu 0.0000 0.0000 0.0000

No. 8
Entry from Alexandria via LeMat-Bulk: a geometry-optimized RbMnSn2S6 structure (GGA-PBE).

Properties
* symmetry: No. 15
* magnetic moment: 4.00 μB/f.u.
* E_form (uncorrected): -0.4395 eV/atom
* crystal system: monoclinic
* theoretical density: 3.25 g/cm³

a = 6.5500 Å, b = 9.6570 Å, c = 9.6570 Å
α = 89.43°, β = 77.56°, γ = 77.56°
Fractional positions:
Rb 0.2500 0.8846 0.1154
Rb 0.7500 0.1154 0.8846
Mn 0.2500 0.2569 0.7431
Mn 0.7500 0.7431 0.2569
Sn 0.3080 0.7985 0.6356
Sn 0.1920 0.3644 0.2015
Sn 0.6920 0.2015 0.3644
Sn 0.8080 0.6356 0.7985
S 0.3283 0.0118 0.7583
S 0.1717 0.2417 0.9882
S 0.6717 0.9882 0.2417
S 0.8283 0.7583 0.0118
S 0.4692 0.6877 0.4030
S 0.0308 0.5970 0.3123
S 0.5308 0.3123 0.5970
S 0.9692 0.4030 0.6877
S 0.9250 0.8169 0.6361
S 0.5750 0.3639 0.1831
S 0.0750 0.1831 0.3639
S 0.4250 0.6361 0.8169

No. 9
Entry from Alexandria via LeMat-Bulk: a geometry-optimized Ac12Ag3Os5 structure (GGA-PBE).

Properties
* DFT formation energy: 3.06 eV per formula unit
* symmetry: No. 230
* magnetic moment: 0.00 μB/f.u.
* crystal system: cubic
* theoretical density: 8.77 g/cm³

a = 15.7885 Å, b = 15.7885 Å, c = 15.7885 Å
α = 109.47°, β = 109.47°, γ = 109.47°
Fractional positions:
Ac 0.7065 0.1184 0.0273
Ac 0.3208 0.5273 0.4089
Ac 0.9727 0.3816 0.2935
Ac 0.5273 0.2065 0.1184
Ac 0.5881 0.7065 0.6792
Ac 0.9727 0.5911 0.1792
Ac 0.3208 0.7935 0.4119
Ac 0.0911 0.9119 0.1184
Ac 0.5911 0.9727 0.6792
Ac 0.7065 0.5881 0.1792
Ac 0.7935 0.4727 0.3816
Ac 0.8208 0.9089 0.0273
Ac 0.1184 0.7065 0.5273
Ac 0.3816 0.4089 0.0881
Ac 0.0881 0.9089 0.3816
Ac 0.4119 0.1184 0.5911
Ac 0.0881 0.1792 0.2065
Ac 0.4727 0.6792 0.0911
Ac 0.8208 0.9119 0.2935
Ac 0.1184 0.4119 0.0911
Ac 0.3816 0.9727 0.7935
Ac 0.5911 0.6184 0.4119
Ac 0.9089 0.8208 0.5273
Ac 0.7935 0.3208 0.9119
Ac 0.4089 0.3816 0.5881
Ac 0.0911 0.1792 0.4727
Ac 0.2065 0.6792 0.0881
Ac 0.1792 0.0881 0.7065
Ac 0.6184 0.0273 0.2065
Ac 0.8816 0.5881 0.9089
Ac 0.5273 0.3208 0.9089
Ac 0.5881 0.8816 0.4089
Ac 0.9119 0.8208 0.7935
Ac 0.9119 0.0911 0.6184
Ac 0.8816 0.2935 0.4727
Ac 0.1792 0.0911 0.9727
Ac 0.6184 0.5911 0.9119
Ac 0.4089 0.0273 0.3208
Ac 0.2935 0.4119 0.8208
Ac 0.2065 0.5273 0.6184
Ac 0.9089 0.0881 0.8816
Ac 0.6792 0.2065 0.5881
Ac 0.4727 0.7935 0.8816
Ac 0.0273 0.4089 0.8208
Ac 0.4119 0.2935 0.3208
Ac 0.0273 0.6184 0.7065
Ac 0.6792 0.4727 0.5911
Ac 0.2935 0.8816 0.9727
Os 0.1250 0.3750 0.2500
Os 0.0000 0.5000 0.0000
Os 0.0000 0.0000 0.0000
Os 0.3750 0.2500 0.1250
Os 0.5000 0.0000 0.5000
Os 0.5000 0.5000 0.0000
Os 0.1250 0.7500 0.3750
Os 0.7500 0.1250 0.8750
Os 0.7500 0.6250 0.3750
Os 0.3750 0.1250 0.7500
Os 0.6250 0.8750 0.2500
Os 0.5000 0.5000 0.5000
Os 0.5000 0.0000 0.0000
Os 0.0000 0.0000 0.5000
Os 0.2500 0.3750 0.6250
Os 0.2500 0.8750 0.1250
Os 0.0000 0.5000 0.5000
Os 0.8750 0.2500 0.6250
Os 0.6250 0.7500 0.8750
Os 0.8750 0.6250 0.7500
Ag 0.7500 0.3750 0.1250
Ag 0.8750 0.7500 0.1250
Ag 0.3750 0.7500 0.6250
Ag 0.2500 0.1250 0.3750
Ag 0.8750 0.1250 0.2500
Ag 0.3750 0.6250 0.2500
Ag 0.6250 0.3750 0.7500
Ag 0.1250 0.8750 0.7500
Ag 0.7500 0.8750 0.6250
Ag 0.6250 0.2500 0.3750
Ag 0.1250 0.2500 0.8750
Ag 0.2500 0.6250 0.8750

No. 10
Entry from Alexandria via LeMat-Bulk: a geometry-optimized HfAlOF2 structure (GGA-PBE).

Properties
* excess energy over the best structure of this formula in the dataset: 289 kJ/mol of formula units
* symmetry: No. 123
* magnetic moment: 1.42 μB/f.u.
* E_form (uncorrected): -1.6059 eV/atom
* crystal system: tetragonal
* theoretical density: 6.69 g/cm³

a = 4.3456 Å, b = 4.3456 Å, c = 3.4086 Å
α = 90.00°, β = 90.00°, γ = 90.00°
Fractional positions:
Hf 0.5000 0.5000 0.5000
Al 0.0000 0.0000 0.0000
O 0.0000 0.0000 0.5000
F 0.0000 0.5000 0.0000
F 0.5000 0.0000 0.0000